# 1
A plane-wave DFT calculation with PBE was carried out for an optimized crystal structure of Rb3TlCu2I9.

Cell lengths 8.2142, 8.2142, 10.1551 Å; angles 90.00, 90.00, 120.00 degrees
Fractional coordinates of all 15 atoms:
Rb 0.0000 0.0000 0.0000
Rb 0.3333 0.6667 0.6776
Rb 0.6667 0.3333 0.3224
Tl 0.0000 0.0000 0.5000
Cu 0.3333 0.6667 0.1557
Cu 0.6667 0.3333 0.8443
I 0.0000 0.5000 0.0000
I 0.1751 0.3502 0.3169
I 0.1751 0.8249 0.3169
I 0.3502 0.1751 0.6831
I 0.5000 0.0000 0.0000
I 0.5000 0.5000 0.0000
I 0.6498 0.8249 0.3169
I 0.8249 0.1751 0.6831
I 0.8249 0.6498 0.6831

* formation energy (no corrections): -9.9 eV/f.u.
* uncorrected energy: -2.484 eV per atom
* magnetization: 0.0000 μB per atom

---

# 2
A plane-wave DFT calculation with PBE was carried out for an optimized crystal structure of RbTlCuI4.

Cell lengths 8.5448, 7.0084, 10.0777 Å; angles 90.00, 107.08, 90.00 degrees
Fractional coordinates of all 14 atoms:
Rb 0.2446 0.2500 0.0590
Rb 0.7554 0.7500 0.9410
Tl 0.3211 0.2500 0.5855
Tl 0.6789 0.7500 0.4145
Cu 0.2303 0.7500 0.7997
Cu 0.7697 0.2500 0.2003
I 0.0031 0.0063 0.7233
I 0.0031 0.4937 0.7233
I 0.3827 0.7500 0.0650
I 0.4130 0.7500 0.6254
I 0.5870 0.2500 0.3746
I 0.6173 0.2500 0.9350
I 0.9969 0.5063 0.2767
I 0.9969 0.9937 0.2767

* formation energy (no corrections): -4.6 eV/f.u.
* uncorrected energy: -2.597 eV per atom
* magnetization: 0.0000 μB per atom

---

# 3
A plane-wave DFT calculation with PBE was carried out for an optimized crystal structure of Rb2TmCuI6.

Cell lengths 8.3849, 8.3849, 8.2431 Å; angles 119.35, 119.35, 92.08 degrees
Fractional coordinates of all 10 atoms:
Rb 0.2502 0.7498 0.0000
Rb 0.7498 0.2502 0.0000
Tm 0.0000 0.0000 0.5000
Cu 0.5000 0.5000 0.5000
I 0.2480 0.7520 0.5000
I 0.2571 0.2571 0.4988
I 0.2575 0.2575 0.0138
I 0.7425 0.7425 0.9862
I 0.7429 0.7429 0.5012
I 0.7520 0.2480 0.5000

* formation energy (no corrections): -11.0 eV/f.u.
* uncorrected energy: -3.081 eV per atom
* magnetization: 0.0000 μB per atom

---

# 4
A plane-wave DFT calculation with PBE was carried out for an optimized crystal structure of RbUCuI6.

Cell lengths 7.3140, 7.9862, 8.2842 Å; angles 86.71, 82.75, 62.77 degrees
Fractional coordinates of all 9 atoms:
Rb 0.0000 0.0000 0.0000
U 0.2917 0.4175 0.4996
Cu 0.5477 0.9052 0.5001
I 0.2597 0.1109 0.3196
I 0.3874 0.6986 0.6664
I 0.5614 0.4412 0.2073
I 0.6306 0.1116 0.6795
I 0.9143 0.6983 0.3334
I 0.9982 0.4405 0.7916

* formation energy (no corrections): -7.4 eV/f.u.
* uncorrected energy: -3.669 eV per atom
* magnetization: 0.2222 μB per atom

---

# 5
A plane-wave DFT calculation with PBE was carried out for an optimized crystal structure of RbVCuI6.

Cell lengths 7.1577, 7.6358, 7.9423 Å; angles 87.54, 83.62, 62.57 degrees
Fractional coordinates of all 9 atoms:
Rb 0.0000 0.0000 0.0000
V 0.3278 0.3595 0.4974
Cu 0.6157 0.7801 0.4947
I 0.0267 0.4185 0.7501
I 0.3153 0.0676 0.3211
I 0.3904 0.6475 0.6790
I 0.5649 0.4269 0.2450
I 0.6336 0.0727 0.6658
I 0.9793 0.6421 0.3191

* formation energy (no corrections): -4.7 eV/f.u.
* uncorrected energy: -3.134 eV per atom
* magnetization: 0.1050 μB per atom

---

# 6
A plane-wave DFT calculation with PBE was carried out for an optimized crystal structure of RbVCu2I8.

Cell lengths 6.9617, 6.9617, 10.5678 Å; angles 98.15, 98.15, 67.62 degrees
Fractional coordinates of all 12 atoms:
Rb 0.0000 0.0000 0.0000
V 0.0000 0.0000 0.5000
Cu 0.3820 0.3820 0.7027
Cu 0.6180 0.6180 0.2973
I 0.2114 0.7230 0.3102
I 0.2346 0.2346 0.4922
I 0.2770 0.7886 0.6898
I 0.3249 0.3249 0.9221
I 0.6751 0.6751 0.0779
I 0.7230 0.2114 0.3102
I 0.7654 0.7654 0.5078
I 0.7886 0.2770 0.6898

* formation energy (no corrections): -5.0 eV/f.u.
* uncorrected energy: -2.976 eV per atom
* magnetization: 0.0218 μB per atom

---

# 7
A plane-wave DFT calculation with PBE was carried out for an optimized crystal structure of Rb2CuWI6.

Cell lengths 8.0924, 8.0924, 8.0924 Å; angles 119.78, 119.78, 90.37 degrees
Fractional coordinates of all 10 atoms:
Rb 0.2500 0.7500 0.5000
Rb 0.7500 0.2500 0.5000
Cu 0.0000 0.0000 0.0000
W 0.5000 0.5000 0.0000
I 0.2519 0.2519 0.0000
I 0.2537 0.2537 0.5073
I 0.2537 0.7463 0.0000
I 0.7463 0.2537 0.0000
I 0.7463 0.7463 0.4927
I 0.7481 0.7481 0.0000

* formation energy (no corrections): -4.7 eV/f.u.
* uncorrected energy: -3.301 eV per atom
* magnetization: 0.3000 μB per atom

---

# 8
A plane-wave DFT calculation with PBE was carried out for an optimized crystal structure of RbYCu2I6.

Cell lengths 10.1026, 10.1026, 7.8405 Å; angles 94.37, 94.37, 91.89 degrees
Fractional coordinates of all 20 atoms:
Rb 0.0824 0.9176 0.7500
Rb 0.9176 0.0824 0.2500
Y 0.2827 0.7173 0.2500
Y 0.7173 0.2827 0.7500
Cu 0.2469 0.4066 0.7054
Cu 0.4066 0.2469 0.2054
Cu 0.5934 0.7531 0.7946
Cu 0.7531 0.5934 0.2946
I 0.0089 0.2583 0.6599
I 0.1687 0.6025 0.9036
I 0.2583 0.0089 0.1599
I 0.2873 0.4345 0.3811
I 0.3975 0.8313 0.5964
I 0.4345 0.2873 0.8811
I 0.5655 0.7127 0.1189
I 0.6025 0.1687 0.4036
I 0.7127 0.5655 0.6189
I 0.7417 0.9911 0.8401
I 0.8313 0.3975 0.0964
I 0.9911 0.7417 0.3401

* formation energy (no corrections): -8.6 eV/f.u.
* uncorrected energy: -3.352 eV per atom
* magnetization: 0.0000 μB per atom

---

# 9
A plane-wave DFT calculation with PBE was carried out for an optimized crystal structure of RbYCuI6.

Cell lengths 7.4291, 7.4323, 8.1068 Å; angles 96.65, 96.80, 108.72 degrees
Fractional coordinates of all 9 atoms:
Rb 0.0000 0.0000 0.0000
Y 0.3722 0.6286 0.5003
Cu 0.7287 0.2723 0.4994
I 0.0635 0.5827 0.2188
I 0.0800 0.3202 0.6522
I 0.4187 0.9356 0.7827
I 0.4790 0.3284 0.2697
I 0.6735 0.5209 0.7296
I 0.6786 0.9210 0.3469

* formation energy (no corrections): -8.5 eV/f.u.
* uncorrected energy: -3.262 eV per atom
* magnetization: 0.0934 μB per atom

---

# 10
A plane-wave DFT calculation with PBE was carried out for an optimized crystal structure of Rb2YCuI6.

Cell lengths 8.3720, 8.3720, 8.3720 Å; angles 60.00, 60.00, 60.00 degrees
Fractional coordinates of all 10 atoms:
Rb 0.2500 0.2500 0.2500
Rb 0.7500 0.7500 0.7500
Y 0.0000 0.0000 0.0000
Cu 0.5000 0.5000 0.5000
I 0.2561 0.2561 0.7439
I 0.2561 0.7439 0.2561
I 0.2561 0.7439 0.7439
I 0.7439 0.2561 0.2561
I 0.7439 0.2561 0.7439
I 0.7439 0.7439 0.2561

* formation energy (no corrections): -11.1 eV/f.u.
* uncorrected energy: -3.293 eV per atom
* magnetization: 0.0000 μB per atom

---

# 11
A plane-wave DFT calculation with PBE was carried out for an optimized crystal structure of RbZnCu2I6.

Cell lengths 10.7917, 10.7917, 8.7334 Å; angles 110.90, 110.90, 87.66 degrees
Fractional coordinates of all 20 atoms:
Rb 0.1505 0.8495 0.7500
Rb 0.8495 0.1505 0.2500
Zn 0.1811 0.8189 0.2500
Zn 0.8189 0.1811 0.7500
Cu 0.2411 0.3726 0.9295
Cu 0.3726 0.2411 0.4295
Cu 0.6274 0.7589 0.5705
Cu 0.7589 0.6274 0.0705
I 0.0544 0.1854 0.7015
I 0.1456 0.6173 0.9573
I 0.1854 0.0544 0.2015
I 0.3741 0.3874 0.2426
I 0.3827 0.8544 0.5427
I 0.3874 0.3741 0.7426
I 0.6126 0.6259 0.2574
I 0.6173 0.1456 0.4573
I 0.6259 0.6126 0.7574
I 0.8146 0.9456 0.7985
I 0.8544 0.3827 0.0427
I 0.9456 0.8146 0.2985

* formation energy (no corrections): -4.9 eV/f.u.
* uncorrected energy: -2.467 eV per atom
* magnetization: 0.0000 μB per atom

---

# 12
A plane-wave DFT calculation with PBE was carried out for an optimized crystal structure of RbZrCuI6.

Cell lengths 7.5205, 7.5205, 16.5346 Å; angles 90.00, 90.00, 120.00 degrees
Fractional coordinates of all 18 atoms:
Rb 0.0000 0.0000 0.0000
Rb 0.0000 0.0000 0.5000
Zr 0.3333 0.6667 0.2500
Zr 0.6667 0.3333 0.7500
Cu 0.3333 0.6667 0.7500
Cu 0.6667 0.3333 0.2500
I 0.9997 0.3715 0.6507
I 0.0003 0.3718 0.1507
I 0.9997 0.6282 0.8493
I 0.0003 0.6285 0.3493
I 0.3715 0.9997 0.1507
I 0.3715 0.3718 0.3493
I 0.3718 0.0003 0.6507
I 0.3718 0.3715 0.8493
I 0.6282 0.9997 0.3493
I 0.6282 0.6285 0.1507
I 0.6285 0.0003 0.8493
I 0.6285 0.6282 0.6507

* formation energy (no corrections): -7.3 eV/f.u.
* uncorrected energy: -3.352 eV per atom
* magnetization: 0.0133 μB per atom